1.
Density functional theory data (GGA-PBE) for Tb4SmTh3 after structural relaxation. Values from VASP.

Geometry as Quantum ESPRESSO input:
```
&SYSTEM
  ibrav = 0, nat = 8, ntyp = 3
/
ATOMIC_SPECIES
Th 232.04 Th.upf
Tb 158.93 Tb.upf
Sm 150.36 Sm.upf
ATOMIC_POSITIONS angstrom
Th 0.3877 0.4309 1.6435
Tb 0.0353 3.8314 2.7269
Sm 3.0009 -0.4544 -0.5821
Th -0.7439 2.9577 -0.5991
Tb 2.6488 2.9436 0.4877
Th 3.4437 3.8372 3.9031
Tb 3.7961 0.4367 2.8196
Tb 1.1827 1.3245 5.0589
CELL_PARAMETERS angstrom
6.0018 -0.9087 -1.1641
-1.4877 5.9154 -1.1983
-0.6827 -0.7386 7.9089
```

Calculated values
- calculated density (g/cm3) = 9.54
- energy of formation (meV per atom) = 48
- crystal system = monoclinic
- M_tot (μB/f.u.) = 0.00
- total DFT energy (no corrections) (eV per atom) = -5.64

---

2.
Density functional theory data (GGA-PBE) for TbSm5Th2 after structural relaxation. Values from VASP.

Geometry as Quantum ESPRESSO input:
```
&SYSTEM
  ibrav = 0, nat = 8, ntyp = 3
/
ATOMIC_SPECIES
Tb 158.93 Tb.upf
Sm 150.36 Sm.upf
Th 232.04 Th.upf
ATOMIC_POSITIONS angstrom
Tb 0.0000 0.0000 0.0000
Sm 1.7744 -4.6179 -2.7641
Th 2.4949 -6.1433 0.2469
Th -0.9755 -2.0929 2.8704
Sm -0.3440 -3.8649 0.1154
Sm 0.1842 -0.0012 5.6177
Sm 1.3352 -8.2351 -2.5004
Sm 1.8633 -4.3714 3.0019
CELL_PARAMETERS angstrom
-3.2867 -1.3272 0.1075
3.5487 -9.2359 -5.5282
1.2573 2.3268 8.5380
```

Calculated values
- calculated density (g/cm3) = 8.50
- energy of formation (meV per atom) = 104
- crystal system = orthorhombic
- M_tot (μB/f.u.) = 0.00
- total DFT energy (no corrections) (eV per atom) = -5.28

---

3.
Density functional theory data (GGA-PBE) for Tb5Sm4Th after structural relaxation. Values from VASP.

Geometry as Quantum ESPRESSO input:
```
&SYSTEM
  ibrav = 0, nat = 10, ntyp = 3
/
ATOMIC_SPECIES
Tb 158.93 Tb.upf
Th 232.04 Th.upf
Sm 150.36 Sm.upf
ATOMIC_POSITIONS angstrom
Tb -2.4704 3.9468 4.4968
Th -1.7318 0.2401 -0.4394
Tb -2.7122 -0.8388 2.8347
Sm -0.3669 1.8029 2.4310
Tb -1.3615 0.7043 5.7504
Sm -1.1063 5.5425 7.3883
Tb -0.1270 6.6376 4.1273
Tb -1.2359 9.8801 2.8737
Sm -2.2305 8.7815 6.1931
Sm -1.4911 5.0419 1.2358
CELL_PARAMETERS angstrom
-3.4636 0.4802 -0.8789
-1.9608 -2.1578 6.5483
2.8270 12.2620 2.9547
```

Calculated values
- calculated density (g/cm3) = 8.25
- energy of formation (meV per atom) = 20
- crystal system = monoclinic
- M_tot (μB/f.u.) = 0.00
- total DFT energy (no corrections) (eV per atom) = -4.92

---

4.
Density functional theory data (GGA-PBE) for TbSm4Th after structural relaxation. Values from VASP.

Geometry as Quantum ESPRESSO input:
```
&SYSTEM
  ibrav = 0, nat = 12, ntyp = 3
/
ATOMIC_SPECIES
Sm 150.36 Sm.upf
Th 232.04 Th.upf
Tb 158.93 Tb.upf
ATOMIC_POSITIONS angstrom
Sm 1.0384 16.5905 5.0960
Th 2.2619 1.2872 1.7385
Sm 3.3507 8.9523 3.9936
Th -0.0506 8.9253 2.8410
Sm 1.1621 8.8984 -0.5395
Sm 2.2517 11.4176 1.7169
Sm 3.4743 1.2602 -1.6419
Sm 2.2611 6.4331 1.7371
Tb 3.4524 11.4573 -1.6883
Sm -0.0511 14.0713 2.8395
Sm 4.5639 3.7794 0.6145
Tb 1.1504 3.8191 -0.5626
CELL_PARAMETERS angstrom
4.6139 0.0000 -2.2280
-0.0110 15.2764 -0.0229
-0.0901 2.5743 5.7049
```

Calculated values
- calculated density (g/cm3) = 8.25
- energy of formation (meV per atom) = 41
- crystal system = monoclinic
- M_tot (μB/f.u.) = 0.00
- total DFT energy (no corrections) (eV per atom) = -5.11